DFT (PBE-GGA) results for a relaxed structure of V4Si3.

a b c (Å): 12.079 3.401 5.015
angles (deg): 90.00 107.54 90.00
Space group C2/m (No. 12)
Unique sites:
V (0.063, 0.000, 0.363) (multiplicity 4)
V (0.156, 0.500, 0.791) (multiplicity 4)
Si (0.000, 0.500, 0.000) (multiplicity 2)
Si (0.216, 0.500, 0.319) (multiplicity 4)

Values from the calculation:
The value obtained for the magnetization is 0.000 μB per formula unit.

=====

DFT (PBE-GGA) results for a relaxed structure of La2ZnRhPb.

a b c (Å): 5.474 5.474 4.882
angles (deg): 90.00 90.00 90.00
Space group P4/mmm (No. 123)
Unique sites:
La (0.000, 0.500, 0.000) (multiplicity 2)
Zn (0.000, 0.000, 0.500) (multiplicity 1)
Rh (0.000, 0.000, 0.000) (multiplicity 1)
Pb (0.500, 0.500, 0.500) (multiplicity 1)

Values from the calculation:
The value obtained for the magnetization is 0.000 μB per formula unit. For the energy above the most stable polymorph in this dataset, the calculation gives 88.6 meV/atom. The value obtained for the formation enthalpy at 0 K is -0.516 eV/atom.

=====

DFT (PBE-GGA) results for a relaxed structure of LaCeBiO6.

a b c (Å): 5.8430 5.8430 4.8685
angles (deg): 90.00 90.00 120.00
Space group P312 (No. 149)
Unique sites:
La (0.0000, 0.0000, 0.0000) (multiplicity 1)
Ce (0.3333, 0.6667, 0.5000) (multiplicity 1)
Bi (0.6667, 0.3333, 0.0000) (multiplicity 1)
O (0.3660, 0.0106, 0.7580) (multiplicity 6)

Values from the calculation:
The value obtained for the magnetization is 0.000 μB per formula unit.

=====

DFT (PBE-GGA) results for a relaxed structure of KLiI2F.

a b c (Å): 6.641 6.641 3.515
angles (deg): 90.00 90.00 90.00
Space group P4/mmm (No. 123)
Unique sites:
K (0.000, 0.000, 0.000) (multiplicity 1)
Li (0.500, 0.500, 0.000) (multiplicity 1)
I (0.000, 0.500, 0.500) (multiplicity 2)
F (0.500, 0.500, 0.500) (multiplicity 1)

Values from the calculation:
The value obtained for the magnetization is 0.000 μB per formula unit.

=====

DFT (PBE-GGA) results for a relaxed structure of BaTl4Ru.

a b c (Å): 8.898 8.898 8.898
angles (deg): 90.00 90.00 90.00
Space group F-43m (No. 216)
Unique sites:
Ba (0.000, 0.000, 0.000) (multiplicity 4)
Tl (0.124, 0.124, 0.376) (multiplicity 16)
Ru (0.250, 0.250, 0.750) (multiplicity 4)

Values from the calculation:
The value obtained for the magnetization is 1.370 μB per formula unit. The value obtained for the formation enthalpy at 0 K is 0.457 eV/atom.

=====

DFT (PBE-GGA) results for a relaxed structure of DyH4Pd6.

a b c (Å): 5.667 5.673 5.840
angles (deg): 118.80 118.90 90.29
Space group P1 (No. 1)
Unique sites:
Dy (0.000, 0.000, 0.000) (multiplicity 1)
H (0.201, 0.731, 0.433) (multiplicity 1)
H (0.257, 0.330, 0.582) (multiplicity 1)
H (0.683, 0.679, 0.430) (multiplicity 1)
H (0.712, 0.203, 0.435) (multiplicity 1)
Pd (0.030, 0.030, 0.519) (multiplicity 1)
Pd (0.489, 0.487, 0.514) (multiplicity 1)
Pd (0.499, 0.998, 0.996) (multiplicity 1)
Pd (0.512, 0.973, 0.486) (multiplicity 1)
Pd (0.976, 0.514, 0.489) (multiplicity 1)
Pd (0.996, 0.497, 0.996) (multiplicity 1)

Values from the calculation:
The value obtained for the magnetization is 0.000 μB per formula unit.

=====

DFT (PBE-GGA) results for a relaxed structure of LaNd2Y.

a b c (Å): 12.222 3.678 6.316
angles (deg): 90.00 99.93 90.00
Space group C2/m (No. 12)
Unique sites:
La (0.000, 0.000, 0.000) (multiplicity 2)
Nd (0.249, 0.000, 0.750) (multiplicity 4)
Y (0.000, 0.500, 0.500) (multiplicity 2)

Values from the calculation:
The value obtained for the magnetization is 0.000 μB per formula unit. For the energy above the most stable polymorph in this dataset, the calculation gives 3.5 meV/atom. The value obtained for the formation enthalpy at 0 K is 0.017 eV/atom.

=====

DFT (PBE-GGA) results for a relaxed structure of Ac4RhSeI2.

a b c (Å): 8.144 4.343 8.714
angles (deg): 90.00 106.40 90.00
Space group P2/m (No. 10)
Unique sites:
Ac (0.206, 0.000, 0.189) (multiplicity 2)
Ac (0.253, 0.500, 0.801) (multiplicity 2)
Rh (0.000, 0.500, 0.000) (multiplicity 1)
Se (0.500, 0.000, 0.000) (multiplicity 1)
I (0.000, 0.000, 0.500) (multiplicity 1)
I (0.500, 0.500, 0.500) (multiplicity 1)

Values from the calculation:
The value obtained for the magnetization is 0.000 μB per formula unit.

=====

| no. | VASP energy (eV/atom) |
| --- | --- |
| 1 | -7.6790 |
| 2 | -4.9534 |
| 3 | -7.2297 |
| 4 | -3.0161 |
| 5 | -2.9874 |
| 6 | -4.7781 |
| 7 | -5.2151 |
| 8 | -4.9627 |